# Cs4SrPu3O12

A relaxed Cs4SrPu3O12 crystal (PBE, the Alexandria database).

```
20
Lattice="7.723 0.000 0.000 -2.574 7.282 0.000 -2.574 -3.641 6.306" Properties=species:S:1:pos:R:3 pbc="T T T"
Cs 1.287 1.820 3.153
Cs -1.287 -1.820 3.153
Cs 3.862 0.000 0.000
Cs -1.287 3.641 0.000
Sr 0.000 0.000 0.000
Pu 2.574 -1.820 3.153
Pu 2.574 3.641 0.000
Pu -2.574 1.820 3.153
O -1.287 0.910 4.730
O 3.684 -2.605 4.512
O 1.465 -1.036 1.794
O 3.862 2.731 1.577
O 3.684 5.210 0.000
O 1.465 2.071 0.000
O 3.862 0.000 3.153
O -1.287 3.641 3.153
O 1.287 -0.910 4.730
O -3.684 2.605 4.512
O 1.287 4.551 1.577
O -1.465 1.036 1.794
```

Results
- size of the total moment (μB/f.u.) = 6.00
- energy relative to the elements, uncorrected (eV/atom) = -2.417

# CoRe2BiIr

A relaxed CoRe2BiIr crystal (PBE, the Alexandria database).

```
5
Lattice="4.435 0.000 0.000 0.000 4.732 0.000 0.000 0.000 4.435" Properties=species:S:1:pos:R:3 pbc="T T T"
Re 0.000 0.000 2.218
Re 2.218 0.000 0.000
Ir 0.000 2.366 0.000
Co 0.000 0.000 0.000
Bi 2.218 2.366 2.218
```

Results
- size of the total moment (μB/f.u.) = 0.00
- calculated formation energy (eV/f.u.) = 7.26

# Ga2Ni2Te

A relaxed Ga2Ni2Te crystal (PBE, the Alexandria database).

```
5
Lattice="-0.430 -2.245 2.924 2.662 -2.225 -1.317 5.111 0.811 3.730" Properties=species:S:1:pos:R:3 pbc="T T T"
Ni 1.985 -1.572 1.440
Ni 5.358 -2.087 3.897
Te 0.000 0.000 0.000
Ga 2.898 -1.834 3.729
Ga 4.445 -1.825 1.608
```

Results
- size of the total moment (μB/f.u.) = 0.00
- energy relative to the elements, uncorrected (eV/atom) = -0.130

# TaIn2Br

A relaxed TaIn2Br crystal (PBE, the Alexandria database).

```
4
Lattice="5.929 0.068 0.000 2.802 5.226 0.000 -4.366 -2.647 3.016" Properties=species:S:1:pos:R:3 pbc="T T T"
In 0.000 0.000 0.000
In 1.401 2.613 1.508
Br 2.965 0.034 1.508
Ta 4.366 2.647 0.000
```

Results
- size of the total moment (μB/f.u.) = 0.51
- energy relative to the elements, uncorrected (eV/atom) = 0.672

# Ba2AuBr2O2

A relaxed Ba2AuBr2O2 crystal (PBE, the Alexandria database).

```
7
Lattice="-2.210 1.173 3.594 1.581 -3.495 2.113 7.279 5.953 -0.136" Properties=species:S:1:pos:R:3 pbc="T T T"
Ba 5.499 3.784 2.146
Ba 1.151 -0.152 3.425
Au 0.000 0.000 0.000
Br 2.585 1.779 1.009
Br 4.064 1.853 4.562
O 0.790 -1.748 1.056
O -1.105 0.587 1.797
```

Results
- size of the total moment (μB/f.u.) = 0.00
- energy relative to the elements, uncorrected (eV/atom) = -1.725

# AlSiSn3

A relaxed AlSiSn3 crystal (PBE, the Alexandria database).

```
5
Lattice="5.242 0.000 0.000 0.000 5.242 0.000 0.000 0.000 5.242" Properties=species:S:1:pos:R:3 pbc="T T T"
Si 2.621 2.621 2.621
Sn 0.000 2.621 0.000
Sn 0.000 0.000 2.621
Sn 2.621 0.000 0.000
Al 0.000 0.000 0.000
```

Results
- size of the total moment (μB/f.u.) = 0.00
- energy relative to the elements, uncorrected (eV/atom) = 0.732

# ScRe3F

A relaxed ScRe3F crystal (PBE, the Alexandria database).

```
5
Lattice="4.674 0.000 0.000 0.000 4.674 0.000 0.000 0.000 4.674" Properties=species:S:1:pos:R:3 pbc="T T T"
Sc 0.000 0.000 0.000
Re 0.000 2.337 0.000
Re 0.000 0.000 2.337
Re 2.337 0.000 0.000
F 2.337 2.337 2.337
```

Results
- size of the total moment (μB/f.u.) = 2.68
- energy relative to the elements, uncorrected (eV/atom) = 2.770

# K3LaBr6

A relaxed K3LaBr6 crystal (PBE, the Alexandria database).

```
20
Lattice="8.004 0.000 0.102 0.000 8.560 0.000 0.248 0.000 11.510" Properties=species:S:1:pos:R:3 pbc="T T T"
K 4.451 7.877 8.810
K 4.002 4.280 0.051
K 3.801 0.683 2.802
K 0.325 4.963 3.004
K 0.124 0.000 5.755
K 7.928 3.597 8.608
La 4.126 4.280 5.806
La 0.000 0.000 0.000
Br 5.871 1.557 10.871
Br 5.513 1.844 6.777
Br 5.214 3.726 3.115
Br 3.039 4.834 8.498
Br 2.740 6.716 4.835
Br 2.382 7.003 0.742
Br 1.744 2.723 5.064
Br 1.387 2.436 0.971
Br 1.335 0.554 8.818
Br 6.917 8.006 2.794
Br 6.866 6.124 10.642
Br 6.508 5.837 6.548
```

Results
- size of the total moment (μB/f.u.) = 0.00
- energy relative to the elements, uncorrected (eV/atom) = -1.865

# BiTe2Se

A relaxed BiTe2Se crystal (PBE, the Alexandria database).

```
8
Lattice="7.918 0.000 0.000 0.000 7.918 0.000 3.959 3.959 4.371" Properties=species:S:1:pos:R:3 pbc="T T T"
Te 5.824 1.980 1.093
Te 2.094 5.939 1.093
Te 5.939 6.053 3.278
Te 9.898 9.783 3.278
Bi 0.000 0.000 0.000
Bi 7.918 3.959 2.185
Se 3.959 3.959 0.000
Se 3.959 7.918 2.185
```

Results
- size of the total moment (μB/f.u.) = 0.00
- energy relative to the elements, uncorrected (eV/atom) = 0.145

# MgScGa3

A relaxed MgScGa3 crystal (PBE, the Alexandria database).

```
10
Lattice="-3.679 -1.263 -1.872 -0.134 -2.561 1.991 -6.776 8.374 7.668" Properties=species:S:1:pos:R:3 pbc="T T T"
Mg -4.882 2.442 5.460
Mg -5.707 2.108 2.328
Sc -1.932 0.734 0.814
Sc -8.657 3.816 6.973
Ga -6.102 5.056 6.094
Ga -4.487 -0.507 1.694
Ga -7.430 6.433 7.774
Ga -3.159 -1.883 0.013
Ga -7.184 3.639 4.198
Ga -3.405 0.911 3.589
```

Results
- size of the total moment (μB/f.u.) = 0.00
- calculated formation energy (eV/f.u.) = -1.89

# Pr3Dy2ErTm6

A relaxed Pr3Dy2ErTm6 crystal (PBE, the Alexandria database).

```
12
Lattice="-1.359 2.115 -5.634 0.255 -6.077 1.032 -10.836 1.304 4.227" Properties=species:S:1:pos:R:3 pbc="T T T"
Pr -5.432 -4.059 2.034
Pr -6.508 1.401 -2.409
Pr -5.970 -1.329 -0.187
Dy -0.283 -3.345 -1.190
Dy -0.821 -0.617 -3.411
Er 0.000 0.000 0.000
Tm -9.275 -0.628 -1.379
Tm -3.487 -2.646 -2.408
Tm -2.665 -2.030 1.004
Tm -8.737 -3.358 0.843
Tm -8.453 -0.011 2.033
Tm -3.203 0.700 -1.217
```

Results
- size of the total moment (μB/f.u.) = 0.00
- calculated formation energy (eV/f.u.) = 0.30

# TbCe2Bi

A relaxed TbCe2Bi crystal (PBE, the Alexandria database).

```
4
Lattice="-2.643 0.305 -2.193 -1.553 -2.821 -1.232 -9.291 -0.659 8.396" Properties=species:S:1:pos:R:3 pbc="T T T"
Tb -6.743 -1.587 2.486
Bi 0.000 0.000 0.000
Ce -7.212 -0.706 5.885
Ce -6.274 -2.468 -0.913
```

Results
- size of the total moment (μB/f.u.) = 1.96
- calculated formation energy (eV/f.u.) = 0.42

Please write out number 2 again, unchanged.
# CoRe2BiIr

A relaxed CoRe2BiIr crystal (PBE, the Alexandria database).

```
5
Lattice="4.435 0.000 0.000 0.000 4.732 0.000 0.000 0.000 4.435" Properties=species:S:1:pos:R:3 pbc="T T T"
Re 0.000 0.000 2.218
Re 2.218 0.000 0.000
Ir 0.000 2.366 0.000
Co 0.000 0.000 0.000
Bi 2.218 2.366 2.218
```

Results
- size of the total moment (μB/f.u.) = 0.00
- calculated formation energy (eV/f.u.) = 7.26